La2TmTc: optimized geometry, PBE.

a b c (Å): 4.070 9.416 6.363
angles (deg): 90.00 108.58 90.00
Fractional coordinates of all 8 atoms:
La: 0.140 0.070 0.280
La: 0.140 0.430 0.280
La: 0.860 0.570 0.720
La: 0.860 0.930 0.720
Tm: 0.421 0.250 0.840
Tm: 0.579 0.750 0.160
Tc: 0.238 0.750 0.479
Tc: 0.762 0.250 0.521

Summary:
DFT total energy: -6.20 eV/atom
magnetization: 0.00 Bohr magnetons per cell
SG: P2_1/m (11)
energy relative to the elements: -32 meV per atom

---

LaTmTc4: optimized geometry, PBE.

a b c (Å): 5.453 5.453 5.453
angles (deg): 60.00 60.00 60.00
Fractional coordinates of all 6 atoms:
La: 0.000 0.000 0.000
Tm: 0.250 0.250 0.250
Tc: 0.126 0.625 0.625
Tc: 0.625 0.126 0.625
Tc: 0.625 0.625 0.126
Tc: 0.625 0.625 0.625

Summary:
DFT total energy: -8.48 eV/atom
magnetization: 0.00 Bohr magnetons per cell
SG: F-43m (216)
energy relative to the elements: -4 meV per atom

---

La3TmTc: optimized geometry, PBE.

a b c (Å): 5.540 5.540 5.540
angles (deg): 90.00 90.00 90.00
Fractional coordinates of all 5 atoms:
La: 0.000 0.000 0.500
La: 0.000 0.500 0.000
La: 0.500 0.000 0.000
Tm: 0.500 0.500 0.500
Tc: 0.000 0.000 0.000

Summary:
DFT total energy: -5.82 eV/atom
magnetization: 0.00 Bohr magnetons per cell
SG: Pm-3m (221)
energy relative to the elements: 106 meV per atom

---

LaTm2Tc: optimized geometry, PBE.

a b c (Å): 3.428 3.428 9.230
angles (deg): 90.00 90.00 90.00
Fractional coordinates of all 4 atoms:
La: 0.000 0.000 0.000
Tm: 0.500 0.500 0.324
Tm: 0.500 0.500 0.676
Tc: 0.000 0.000 0.500

Summary:
energy above the most stable polymorph in this dataset: 92 meV/atom
DFT total energy: -6.09 eV/atom
magnetization: 0.00 Bohr magnetons per cell
SG: P4/mmm (123)
energy relative to the elements: -27 meV per atom